# 1
SiRuSe | PBE-GGA | optimized geometry

Cell: 4.8362 4.8362 4.8362 Å, 142.56 136.56 58.66°
Last column: nearest neighbours and their distance in Å.
Atoms (fractional coordinates):
1 Si 0.0000 0.0000 0.0000  4 Ru 2.57, 5 Se 2.64-2.85
2 Ru 0.6178 0.6178 0.0000  4 Si 2.57, 1 Se 2.57
3 Se 0.3128 0.3128 0.0000  1 Ru 2.57, 5 Si 2.64-2.85

Computed properties:
D(E_F) ... 1.27 states/eV/f.u.
Energy relative to the elements, uncorrected ... 0.21 eV/atom

***

# 2
Si2RuSe | PBE-GGA | optimized geometry

Cell: 4.1211 4.1211 6.0489 Å, 110.85 110.85 44.72°
Last column: nearest neighbours and their distance in Å.
Atoms (fractional coordinates):
1 Si 0.0000 0.0000 0.0000  3 Si 2.34-2.51, 2 Ru 2.61
2 Si 0.2244 0.2244 0.8239  3 Si 2.34-2.51, 3 Ru 2.42-2.49
3 Ru 0.4535 0.4535 0.6357  5 Si 2.42-2.61, 3 Se 2.64-2.66
4 Se 0.6645 0.6645 0.3778  3 Ru 2.64-2.66, 2 Si 2.65

Computed properties:
D(E_F) ... 2.07 states/eV/f.u.
Energy relative to the elements, uncorrected ... 0.02 eV/atom

***

# 3
SiRuSe | PBE-GGA | optimized geometry

Cell: 6.5712 6.2925 2.9485 Å, 82.09 71.53 26.39°
Last column: nearest neighbours and their distance in Å.
Atoms (fractional coordinates):
1 Si 0.0000 0.0000 0.0000  2 Ru 2.33
2 Ru 0.6393 0.6393 0.3607  2 Si 2.33
3 Se 0.3121 0.3121 0.6879  2 Ru 2.64, 2 Si 2.79, 4 Se 2.95

Computed properties:
D(E_F) ... 1.60 states/eV/f.u.
Energy relative to the elements, uncorrected ... 0.29 eV/atom

***

# 4
Si2RuSe | PBE-GGA | optimized geometry

Cell: 4.5087 4.5087 3.0430 Å, 90.00 90.00 105.53°
Last column: nearest neighbours and their distance in Å.
Atoms (fractional coordinates):
1 Si 0.0000 0.5000 0.0000  4 Se 2.72, 4 Ru 2.72, 4 Si 2.73-3.04
2 Si 0.5000 0.0000 0.0000  4 Se 2.72, 4 Ru 2.72, 4 Si 2.73-3.04
3 Ru 0.0000 0.0000 0.5000  8 Si 2.72, 2 Se 2.73, 2 Ru 3.04
4 Se 0.5000 0.5000 0.5000  8 Si 2.72, 2 Ru 2.73, 2 Se 3.04

Computed properties:
D(E_F) ... 1.75 states/eV/f.u.
Energy relative to the elements, uncorrected ... 0.30 eV/atom